[1]
Density functional theory data (PBE) for a relaxed structure of K2FeSi.

Output
Total moment in μB per atom: 0.742
Space group: No. 47
Formation energy without anion corrections in eV per atom: 0.915

a b c (Å): 3.505 5.391 5.549
angles (deg): 90.00 90.00 90.00
Sites, in units of the cell vectors:
K 0.000 0.000 0.248
K 0.000 0.000 0.752
Fe 0.500 0.500 0.500
Si 0.500 0.500 0.000


[2]
Density functional theory data (PBE) for a relaxed structure of K2FeSi.

Output
Total moment in μB per atom: 0.534
Space group: No. 8
Formation energy without anion corrections in eV per atom: 0.321

a b c (Å): 4.077 4.077 9.879
angles (deg): 100.51 100.51 59.94
Sites, in units of the cell vectors:
K 0.000 0.000 0.000
K 0.158 0.158 0.534
Fe 0.745 0.745 0.267
Si 0.412 0.412 0.267


[3]
Density functional theory data (PBE) for a relaxed structure of KFe2Si.

Output
Total moment in μB per atom: 1.090
Space group: No. 8
Formation energy without anion corrections in eV per atom: 0.369

a b c (Å): 4.161 4.161 7.126
angles (deg): 95.61 95.61 39.54
Sites, in units of the cell vectors:
K 0.000 0.000 0.000
Fe 0.505 0.505 0.508
Fe 0.780 0.780 0.370
Si 0.236 0.236 0.640